# MnCdFe2 | Alexandria | PBE | relaxed
data_MnCdFe2
_symmetry_space_group_name_H-M 'I 4/m m m'
_symmetry_Int_Tables_number 139
_symmetry_space_group_name_Hall '-I 4 2'
_cell_length_a 3.813
_cell_length_b 3.813
_cell_length_c 8.011
_cell_angle_alpha 90.00
_cell_angle_beta 90.00
_cell_angle_gamma 90.00
loop_
_atom_site_label
_atom_site_type_symbol
_atom_site_fract_x
_atom_site_fract_y
_atom_site_fract_z
Mn1 Mn 0.000 0.000 0.000
Cd1 Cd 0.000 0.000 0.500
Fe1 Fe 0.000 0.500 0.250
# DFT total energy   -51.07 eV per cell
# Theoretical density   7.96 Mg/m³
# Formation energy   0.369 eV per atom
# Spin magnetization   17.570 Bohr magnetons per cell

# PrPaRu | Alexandria | PBE | relaxed
data_PrPaRu
_symmetry_space_group_name_H-M 'P -6 m 2'
_symmetry_Int_Tables_number 187
_symmetry_space_group_name_Hall 'P -6 2'
_cell_length_a 4.3713
_cell_length_b 4.3713
_cell_length_c 5.0100
_cell_angle_alpha 90.00
_cell_angle_beta 90.00
_cell_angle_gamma 120.00
loop_
_atom_site_label
_atom_site_type_symbol
_atom_site_fract_x
_atom_site_fract_y
_atom_site_fract_z
Pr1 Pr 0.0000 0.0000 0.0000
Pa1 Pa 0.6667 0.3333 0.5000
Ru1 Ru 0.3333 0.6667 0.5000
# DFT total energy   -23.84 eV per cell
# Polymorph energy (0 for the lowest one)   195.6 meV/atom
# Theoretical density   9.47 Mg/m³
# Formation energy   -0.097 eV per atom
# Spin magnetization   0.000 Bohr magnetons per cell

# DyHfZr2 | Alexandria | PBE | relaxed
data_DyHfZr2
_symmetry_space_group_name_H-M 'P 4/m m m'
_symmetry_Int_Tables_number 123
_symmetry_space_group_name_Hall '-P 4 2'
_cell_length_a 3.779
_cell_length_b 3.779
_cell_length_c 6.951
_cell_angle_alpha 90.00
_cell_angle_beta 90.00
_cell_angle_gamma 90.00
loop_
_atom_site_label
_atom_site_type_symbol
_atom_site_fract_x
_atom_site_fract_y
_atom_site_fract_z
Dy1 Dy 0.000 0.000 0.000
Hf1 Hf 0.000 0.000 0.500
Zr1 Zr 0.500 0.500 0.288
# DFT total energy   -31.19 eV per cell
# Polymorph energy (0 for the lowest one)   28.6 meV/atom
# Theoretical density   8.75 Mg/m³
# Formation energy   0.117 eV per atom
# Spin magnetization   0.000 Bohr magnetons per cell

# Sr3CoPt | Alexandria | PBE | relaxed
data_Sr3CoPt
_symmetry_space_group_name_H-M 'P m -3 m'
_symmetry_Int_Tables_number 221
_symmetry_space_group_name_Hall '-P 4 2 3'
_cell_length_a 5.803
_cell_length_b 5.803
_cell_length_c 5.803
_cell_angle_alpha 90.00
_cell_angle_beta 90.00
_cell_angle_gamma 90.00
loop_
_atom_site_label
_atom_site_type_symbol
_atom_site_fract_x
_atom_site_fract_y
_atom_site_fract_z
Sr1 Sr 0.000 0.000 0.500
Co1 Co 0.500 0.500 0.500
Pt1 Pt 0.000 0.000 0.000
# DFT total energy   -17.22 eV per cell
# Polymorph energy (0 for the lowest one)   0.0 meV/atom
# Theoretical density   4.39 Mg/m³
# Formation energy   0.195 eV per atom
# Spin magnetization   1.753 Bohr magnetons per cell

# NdPu2Tc | Alexandria | PBE | relaxed
data_NdPu2Tc
_symmetry_space_group_name_H-M 'R -3 m'
_symmetry_Int_Tables_number 166
_symmetry_space_group_name_Hall '-R 3 2"'
_cell_length_a 4.7296
_cell_length_b 4.7296
_cell_length_c 15.2323
_cell_angle_alpha 90.00
_cell_angle_beta 90.00
_cell_angle_gamma 120.00
loop_
_atom_site_label
_atom_site_type_symbol
_atom_site_fract_x
_atom_site_fract_y
_atom_site_fract_z
Nd1 Nd 0.0000 0.0000 0.0000
Pu1 Pu 0.0000 0.0000 0.2253
Tc1 Tc 0.0000 0.0000 0.5000
# DFT total energy   -128.33 eV per cell
# Polymorph energy (0 for the lowest one)   132.9 meV/atom
# Theoretical density   12.33 Mg/m³
# Formation energy   0.255 eV per atom
# Spin magnetization   32.207 Bohr magnetons per cell

# In14Ga3Pt2O8F15 | Alexandria | PBE | relaxed
data_In14Ga3Pt2O8F15
_symmetry_space_group_name_H-M 'R -3'
_symmetry_Int_Tables_number 148
_symmetry_space_group_name_Hall '-R 3'
_cell_length_a 7.2250
_cell_length_b 7.2250
_cell_length_c 46.4953
_cell_angle_alpha 90.00
_cell_angle_beta 90.00
_cell_angle_gamma 120.00
loop_
_atom_site_label
_atom_site_type_symbol
_atom_site_fract_x
_atom_site_fract_y
_atom_site_fract_z
In1 In 0.0000 0.0000 0.1485
In2 In 0.0041 0.5157 0.9043
In3 In 0.0056 0.5036 0.6964
Ga1 Ga 0.0000 0.0000 0.3001
Ga2 Ga 0.0000 0.0000 0.5000
Pt1 Pt 0.0000 0.0000 0.3964
O1 O 0.0000 0.0000 0.2593
O2 O 0.0505 0.5250 0.3526
F1 F 0.0000 0.0000 0.0000
F2 F 0.0000 0.0000 0.0541
F3 F 0.0062 0.5167 0.4464
F4 F 0.0823 0.5103 0.1431
# DFT total energy   -618.32 eV per cell
# Theoretical density   6.21 Mg/m³
# Raw formation energy   -1.878 eV per atom
# Spin magnetization   0.000 Bohr magnetons per cell

# Cs2Mg2Hg | Alexandria | PBE | relaxed
data_Cs2Mg2Hg
_symmetry_space_group_name_H-M 'P 4/m b m'
_symmetry_Int_Tables_number 127
_symmetry_space_group_name_Hall '-P 4 2ab'
_cell_length_a 7.969
_cell_length_b 7.969
_cell_length_c 6.626
_cell_angle_alpha 90.00
_cell_angle_beta 90.00
_cell_angle_gamma 90.00
loop_
_atom_site_label
_atom_site_type_symbol
_atom_site_fract_x
_atom_site_fract_y
_atom_site_fract_z
Cs1 Cs 0.180 0.320 0.000
Mg1 Mg 0.147 0.647 0.500
Hg1 Hg 0.000 0.000 0.500
# DFT total energy   -9.16 eV per cell
# Theoretical density   4.06 Mg/m³
# Formation energy   0.124 eV per atom
# Spin magnetization   0.000 Bohr magnetons per cell

# Nb2GeCl | Alexandria | PBE | relaxed
data_Nb2GeCl
_symmetry_space_group_name_H-M 'F m -3 m'
_symmetry_Int_Tables_number 225
_symmetry_space_group_name_Hall '-F 4 2 3'
_cell_length_a 6.445
_cell_length_b 6.445
_cell_length_c 6.445
_cell_angle_alpha 90.00
_cell_angle_beta 90.00
_cell_angle_gamma 90.00
loop_
_atom_site_label
_atom_site_type_symbol
_atom_site_fract_x
_atom_site_fract_y
_atom_site_fract_z
Nb1 Nb 0.250 0.250 0.250
Ge1 Ge 0.000 0.000 0.000
Cl1 Cl 0.000 0.000 0.500
# DFT total energy   -105.80 eV per cell
# Polymorph energy (0 for the lowest one)   0.0 meV/atom
# Theoretical density   7.29 Mg/m³
# Raw formation energy   0.038 eV per atom
# Spin magnetization   3.536 Bohr magnetons per cell

# LaRh2CS | Alexandria | PBE | relaxed
data_LaRh2CS
_symmetry_space_group_name_H-M 'P 4/m m m'
_symmetry_Int_Tables_number 123
_symmetry_space_group_name_Hall '-P 4 2'
_cell_length_a 4.938
_cell_length_b 4.938
_cell_length_c 5.576
_cell_angle_alpha 90.00
_cell_angle_beta 90.00
_cell_angle_gamma 90.00
loop_
_atom_site_label
_atom_site_type_symbol
_atom_site_fract_x
_atom_site_fract_y
_atom_site_fract_z
La1 La 0.000 0.000 0.000
Rh1 Rh 0.000 0.500 0.000
C1 C 0.500 0.500 0.500
S1 S 0.000 0.000 0.500
# DFT total energy   -22.45 eV per cell
# Theoretical density   4.75 Mg/m³
# Raw formation energy   2.106 eV per atom
# Spin magnetization   1.119 Bohr magnetons per cell

# Y2HgBr | Alexandria | PBE | relaxed
data_Y2HgBr
_symmetry_space_group_name_H-M 'P 4/m m m'
_symmetry_Int_Tables_number 123
_symmetry_space_group_name_Hall '-P 4 2'
_cell_length_a 3.534
_cell_length_b 3.534
_cell_length_c 8.310
_cell_angle_alpha 90.00
_cell_angle_beta 90.00
_cell_angle_gamma 90.00
loop_
_atom_site_label
_atom_site_type_symbol
_atom_site_fract_x
_atom_site_fract_y
_atom_site_fract_z
Y1 Y 0.000 0.000 0.235
Hg1 Hg 0.500 0.500 0.000
Br1 Br 0.500 0.500 0.500
# DFT total energy   -17.38 eV per cell
# Polymorph energy (0 for the lowest one)   106.1 meV/atom
# Theoretical density   7.33 Mg/m³
# Raw formation energy   -0.619 eV per atom
# Spin magnetization   0.678 Bohr magnetons per cell

# Na3Sm2BiTe6 | Alexandria | PBE | relaxed
data_Na3Sm2BiTe6
_symmetry_space_group_name_H-M 'C 1 2/m 1'
_symmetry_Int_Tables_number 12
_cell_length_a 7.822
_cell_length_b 13.549
_cell_length_c 8.007
_cell_angle_alpha 90.00
_cell_angle_beta 108.98
_cell_angle_gamma 90.00
loop_
_symmetry_equiv_pos_as_xyz
'x,y,z'
'-x,-y,-z'
'-x,y,-z'
'x,-y,z'
'x+1/2,y+1/2,z'
'-x+1/2,-y+1/2,-z'
'-x+1/2,y+1/2,-z'
'x+1/2,-y+1/2,z'
loop_
_atom_site_label
_atom_site_type_symbol
_atom_site_fract_x
_atom_site_fract_y
_atom_site_fract_z
Na1 Na 0.000 0.000 0.000
Na2 Na 0.000 0.337 0.000
Sm1 Sm 0.000 0.167 0.500
Bi1 Bi 0.000 0.500 0.500
Te1 Te 0.245 0.000 0.735
Te2 Te 0.246 0.333 0.737
# DFT total energy   -97.70 eV per cell
# Theoretical density   5.56 Mg/m³
# Raw formation energy   -1.060 eV per atom
# Spin magnetization   0.000 Bohr magnetons per cell

# ScCuI2N | Alexandria | PBE | relaxed
data_ScCuI2N
_symmetry_space_group_name_H-M 'P 4/m m m'
_symmetry_Int_Tables_number 123
_symmetry_space_group_name_Hall '-P 4 2'
_cell_length_a 5.853
_cell_length_b 5.853
_cell_length_c 3.968
_cell_angle_alpha 90.00
_cell_angle_beta 90.00
_cell_angle_gamma 90.00
loop_
_atom_site_label
_atom_site_type_symbol
_atom_site_fract_x
_atom_site_fract_y
_atom_site_fract_z
Sc1 Sc 0.000 0.000 0.000
Cu1 Cu 0.500 0.500 0.500
I1 I 0.000 0.500 0.000
N1 N 0.000 0.000 0.500
# DFT total energy   -21.05 eV per cell
# Polymorph energy (0 for the lowest one)   0.0 meV/atom
# Theoretical density   4.60 Mg/m³
# Raw formation energy   0.161 eV per atom
# Spin magnetization   1.087 Bohr magnetons per cell